(1)
This record from the Alexandria database describes an optimized crystal structure of BaLi2GaPd2. The functional is GGA-PBE.

a = 4.8340 Å, b = 4.8340 Å, c = 6.4052 Å
α = 90.00°, β = 90.00°, γ = 90.00°
Space group P4/mmm (No. 123)
Unique sites:
Ba  0.0000  0.0000  0.0000
Li  0.5000  0.5000  0.3024
Ga  0.0000  0.0000  0.5000
Pd  0.0000  0.5000  0.5000

Calculated values
- Calculated formation energy: -347 meV per atom

=====

(2)
This record from the Alexandria database describes an optimized crystal structure of BaLi2GaPd. The functional is GGA-PBE.

a = 4.9632 Å, b = 4.9632 Å, c = 4.9701 Å
α = 90.00°, β = 90.00°, γ = 90.00°
Space group P4/mmm (No. 123)
Unique sites:
Ba  0.0000  0.0000  0.0000
Li  0.0000  0.5000  0.5000
Ga  0.5000  0.5000  0.5000
Pd  0.5000  0.5000  0.0000

Calculated values
- Calculated formation energy: -255 meV per atom

=====

(3)
This record from the Alexandria database describes an optimized crystal structure of Ba2LiGa3Pd4. The functional is GGA-PBE.

a = 4.5028 Å, b = 4.5028 Å, c = 10.6742 Å
α = 90.00°, β = 90.00°, γ = 90.00°
Space group P-4m2 (No. 115)
Unique sites:
Ba  0.0000  0.5000  0.2495
Li  0.0000  0.0000  0.5000
Ga  0.0000  0.5000  0.8832
Ga  0.5000  0.5000  0.5000
Pd  0.0000  0.0000  0.0000
Pd  0.0000  0.5000  0.6319
Pd  0.5000  0.5000  0.0000

Calculated values
- Calculated formation energy: -640 meV per atom

=====

(4)
This record from the Alexandria database describes an optimized crystal structure of BaLi2GaPd. The functional is GGA-PBE.

a = 5.0281 Å, b = 5.0281 Å, c = 4.8964 Å
α = 90.00°, β = 90.00°, γ = 90.00°
Space group P4/mmm (No. 123)
Unique sites:
Ba  0.0000  0.0000  0.0000
Li  0.0000  0.5000  0.5000
Ga  0.5000  0.5000  0.0000
Pd  0.5000  0.5000  0.5000

Calculated values
- Calculated formation energy: -332 meV per atom

=====

(5)
This record from the Alexandria database describes an optimized crystal structure of Ba2LiGaPt. The functional is GGA-PBE.

a = 6.2457 Å, b = 6.2457 Å, c = 4.8838 Å
α = 90.00°, β = 90.00°, γ = 90.00°
Space group P4/mmm (No. 123)
Unique sites:
Ba  0.0000  0.5000  0.0000
Li  0.0000  0.0000  0.5000
Ga  0.5000  0.5000  0.5000
Pt  0.5000  0.5000  0.0000

Calculated values
- Calculated formation energy: -385 meV per atom

=====

(6)
This record from the Alexandria database describes an optimized crystal structure of BaLi2GaPt. The functional is GGA-PBE.

a = 4.9409 Å, b = 4.9409 Å, c = 4.9015 Å
α = 90.00°, β = 90.00°, γ = 90.00°
Space group P4/mmm (No. 123)
Unique sites:
Ba  0.0000  0.0000  0.0000
Li  0.0000  0.5000  0.5000
Ga  0.5000  0.5000  0.5000
Pt  0.5000  0.5000  0.0000

Calculated values
- Calculated formation energy: -337 meV per atom

=====

(7)
This record from the Alexandria database describes an optimized crystal structure of Ba2LiGa4Pt3. The functional is GGA-PBE.

a = 4.5886 Å, b = 4.5886 Å, c = 10.3201 Å
α = 90.00°, β = 90.00°, γ = 90.00°
Space group P-4m2 (No. 115)
Unique sites:
Ba  0.0000  0.5000  0.2487
Li  0.5000  0.5000  0.0000
Ga  0.0000  0.0000  0.5000
Ga  0.0000  0.5000  0.8799
Ga  0.5000  0.5000  0.5000
Pt  0.0000  0.0000  0.0000
Pt  0.0000  0.5000  0.6242

Calculated values
- Calculated formation energy: -703 meV per atom

=====

(8)
This record from the Alexandria database describes an optimized crystal structure of BaLiGa2Pt. The functional is GGA-PBE.

a = 4.8831 Å, b = 4.8831 Å, c = 5.0365 Å
α = 90.00°, β = 90.00°, γ = 90.00°
Space group P4/mmm (No. 123)
Unique sites:
Ba  0.0000  0.0000  0.0000
Li  0.5000  0.5000  0.0000
Ga  0.0000  0.5000  0.5000
Pt  0.5000  0.5000  0.5000

Calculated values
- Calculated formation energy: -539 meV per atom

=====

(9)
This record from the Alexandria database describes an optimized crystal structure of BaLiGa2Pt. The functional is GGA-PBE.

a = 4.5058 Å, b = 4.5058 Å, c = 11.1926 Å
α = 90.00°, β = 90.00°, γ = 90.00°
Space group I-4m2 (No. 119)
Unique sites:
Ba  0.0000  0.0000  0.0000
Li  0.0000  0.5000  0.2500
Ga  0.0000  0.0000  0.3563
Pt  0.0000  0.5000  0.7500

Calculated values
- Calculated formation energy: -545 meV per atom

=====

(10)
This record from the Alexandria database describes an optimized crystal structure of Ba2LiGaPt. The functional is GGA-PBE.

a = 6.1081 Å, b = 6.1081 Å, c = 4.7321 Å
α = 90.00°, β = 90.00°, γ = 90.00°
Space group P4/mmm (No. 123)
Unique sites:
Ba  0.0000  0.5000  0.0000
Li  0.0000  0.0000  0.5000
Ga  0.0000  0.0000  0.0000
Pt  0.5000  0.5000  0.5000

Calculated values
- Calculated formation energy: 33 meV per atom

=====

(11)
This record from the Alexandria database describes an optimized crystal structure of Ba2LiGa3Pt4. The functional is GGA-PBE.

a = 4.4700 Å, b = 4.4700 Å, c = 10.6777 Å
α = 90.00°, β = 90.00°, γ = 90.00°
Space group P-4m2 (No. 115)
Unique sites:
Ba  0.0000  0.5000  0.2493
Li  0.5000  0.5000  0.0000
Ga  0.0000  0.0000  0.0000
Ga  0.0000  0.5000  0.6185
Pt  0.0000  0.0000  0.5000
Pt  0.0000  0.5000  0.8662
Pt  0.5000  0.5000  0.5000

Calculated values
- Calculated formation energy: -777 meV per atom

=====

(12)
This record from the Alexandria database describes an optimized crystal structure of BaLi2GaPt. The functional is GGA-PBE.

a = 5.0079 Å, b = 5.0079 Å, c = 4.8536 Å
α = 90.00°, β = 90.00°, γ = 90.00°
Space group P4/mmm (No. 123)
Unique sites:
Ba  0.0000  0.0000  0.0000
Li  0.0000  0.5000  0.5000
Ga  0.5000  0.5000  0.0000
Pt  0.5000  0.5000  0.5000

Calculated values
- Calculated formation energy: -451 meV per atom

=====

(13)
This record from the Alexandria database describes an optimized crystal structure of BaLiGa2Pt2. The functional is GGA-PBE.

a = 4.4087 Å, b = 4.4087 Å, c = 7.5575 Å
α = 90.00°, β = 90.00°, γ = 120.00°
Space group P-3m1 (No. 164)
Unique sites:
Ba  0.0000  0.0000  0.0000
Li  0.0000  0.0000  0.5000
Ga  0.3333  0.6667  0.3382
Pt  0.3333  0.6667  0.6834

Calculated values
- Calculated formation energy: -792 meV per atom

=====

(14)
This record from the Alexandria database describes an optimized crystal structure of BaLiGaPt2. The functional is GGA-PBE.

a = 4.3546 Å, b = 4.3546 Å, c = 11.2082 Å
α = 90.00°, β = 90.00°, γ = 90.00°
Space group I-4m2 (No. 119)
Unique sites:
Ba  0.0000  0.0000  0.0000
Li  0.0000  0.5000  0.2500
Ga  0.0000  0.5000  0.7500
Pt  0.0000  0.0000  0.3757

Calculated values
- Calculated formation energy: -759 meV per atom

=====

(15)
This record from the Alexandria database describes an optimized crystal structure of Rb2BaLiGa. The functional is GGA-PBE.

a = 6.4140 Å, b = 6.4140 Å, c = 6.9776 Å
α = 90.00°, β = 90.00°, γ = 90.00°
Space group P4/mmm (No. 123)
Unique sites:
Rb  0.0000  0.5000  0.0000
Ba  0.0000  0.0000  0.5000
Li  0.0000  0.0000  0.0000
Ga  0.5000  0.5000  0.5000

Calculated values
- Calculated formation energy: 454 meV per atom

=====

(16)
This record from the Alexandria database describes an optimized crystal structure of BaLi2GaRh. The functional is GGA-PBE.

a = 4.9776 Å, b = 4.9776 Å, c = 4.8319 Å
α = 90.00°, β = 90.00°, γ = 90.00°
Space group P4/mmm (No. 123)
Unique sites:
Ba  0.0000  0.0000  0.0000
Li  0.0000  0.5000  0.5000
Ga  0.5000  0.5000  0.0000
Rh  0.5000  0.5000  0.5000

Calculated values
- Calculated formation energy: -258 meV per atom

=====

(17)
This record from the Alexandria database describes an optimized crystal structure of Ba2LiGaRh. The functional is GGA-PBE.

a = 6.0793 Å, b = 6.0793 Å, c = 4.8978 Å
α = 90.00°, β = 90.00°, γ = 90.00°
Space group P4/mmm (No. 123)
Unique sites:
Ba  0.0000  0.5000  0.0000
Li  0.0000  0.0000  0.5000
Ga  0.5000  0.5000  0.5000
Rh  0.5000  0.5000  0.0000

Calculated values
- Calculated formation energy: -207 meV per atom

=====

(18)
This record from the Alexandria database describes an optimized crystal structure of BaLi2GaRh. The functional is GGA-PBE.

a = 4.9008 Å, b = 4.9008 Å, c = 4.8759 Å
α = 90.00°, β = 90.00°, γ = 90.00°
Space group P4/mmm (No. 123)
Unique sites:
Ba  0.0000  0.0000  0.0000
Li  0.0000  0.5000  0.5000
Ga  0.5000  0.5000  0.5000
Rh  0.5000  0.5000  0.0000

Calculated values
- Calculated formation energy: -144 meV per atom

=====

(19)
This record from the Alexandria database describes an optimized crystal structure of BaLiGaS3. The functional is GGA-PBE.

a = 6.7097 Å, b = 12.1998 Å, c = 6.6646 Å
α = 90.00°, β = 90.00°, γ = 90.00°
Space group Cmcm (No. 63)
Unique sites:
Ba  0.0000  0.2336  0.2500
Li  0.0000  0.0670  0.7500
Ga  0.0000  0.4490  0.7500
S  0.0000  0.2612  0.7500
S  0.2431  0.5000  0.0000

Calculated values
- E_form (uncorrected): -119.8 kJ/mol of atoms

=====

(20)
This record from the Alexandria database describes an optimized crystal structure of Ba3LiGa2S6. The functional is GGA-PBE.

a = 7.2211 Å, b = 7.2211 Å, c = 7.8512 Å
α = 90.00°, β = 90.00°, γ = 120.00°
Space group P-3m1 (No. 164)
Unique sites:
Ba  0.0000  0.0000  0.0000
Ba  0.3333  0.6667  0.6302
Li  0.0000  0.0000  0.5000
Ga  0.3333  0.6667  0.1966
S  0.1663  0.3325  0.2976

Calculated values
- E_form (uncorrected): -120.6 kJ/mol of atoms

=====

no.,magnetic moment (μB/f.u.),raw total energy (eV per atom)
1,0.16,-3.541
2,0.00,-3.049
3,0.00,-4.201
4,0.00,-3.126
5,0.00,-3.351
6,0.00,-3.301
7,0.00,-4.302
8,0.00,-3.725
9,0.00,-3.731
10,0.00,-2.932
11,0.00,-4.678
12,0.00,-3.414
13,0.00,-4.454
14,0.00,-4.548
15,1.42,-1.306
16,0.00,-3.484
17,0.00,-3.434
18,0.00,-3.369
19,0.00,-4.449
20,0.03,-4.459